# 1
Here is EuTmZnAg after structural relaxation from the Alexandria database. Energies are from PBE-GGA.

The structure in POSCAR format:
```
EuTmZnAg
1.0
5.175 0.000 0.000
2.588 4.482 0.000
2.588 1.494 4.226
Eu Tm Zn Ag
1 1 1 1
direct
0.000 0.000 0.000 Eu
0.500 0.500 0.500 Tm
0.750 0.750 0.750 Zn
0.250 0.250 0.250 Ag
```

Properties
Its formation energy from the elements is -0.26 eV per atom. As for the crystal system: cubic. The density of states at the Fermi level comes out at 4.3 states/eV per cell.

# 2
Here is EuY2Ag after structural relaxation from the Alexandria database. Energies are from PBE-GGA.

The structure in POSCAR format:
```
EuY2Ag
1.0
3.564 0.000 0.000
1.782 3.087 0.000
1.782 1.029 11.464
Ag Y Eu
1 2 1
direct
0.500 0.500 0.500 Ag
0.900 0.900 0.300 Y
0.100 0.100 0.700 Y
0.000 0.000 0.000 Eu
```

Properties
The offset from the most stable computed form is 251 meV/atom. Its formation energy from the elements is 0.16 eV per atom. As for the crystal system: trigonal. The density of states at the Fermi level comes out at 5.2 states/eV per cell.

# 3
Here is EuYAg after structural relaxation from the Alexandria database. Energies are from PBE-GGA.

The structure in POSCAR format:
```
EuYAg
1.0
3.881 0.000 0.000
0.000 5.140 0.000
0.000 -2.570 4.451
Y Ag Eu
1 1 1
direct
0.570 0.667 0.333 Y
0.397 0.333 0.667 Ag
0.033 0.000 0.000 Eu
```

Properties
The offset from the most stable computed form is 169 meV/atom. Its formation energy from the elements is 0.01 eV per atom. As for the crystal system: trigonal. The density of states at the Fermi level comes out at 2.7 states/eV per cell.